# HfAlP2O

A relaxed structure of HfAlP2O (GGA-PBE, the Alexandria database).

The structure in POSCAR format:
```
HfAlP2O
1.0
4.854 0.000 0.000
0.000 4.854 0.000
0.000 0.000 3.399
Hf Al P O
1 1 2 1
Direct
0.000 0.000 0.000
0.500 0.500 0.500
0.000 0.500 0.500
0.500 0.000 0.500
0.500 0.500 0.000
```

Properties
E above lowest polymorph: 0 meV per atom
N(E_F): 3.174 states/eV per cell
theoretical density: 5876 kg/m3
formation energy without anion corrections: -569 meV/atom
VASP energy: -32.32 eV per cell

***

# HfPaAl2O8

A relaxed structure of HfPaAl2O8 (GGA-PBE, the Alexandria database).

The structure in POSCAR format:
```
HfPaAl2O8
1.0
5.511 0.000 0.000
-2.756 4.773 0.000
0.000 0.000 6.386
Hf Pa Al O
1 1 2 8
Direct
0.000 0.000 0.000
0.000 0.000 0.500
0.333 0.667 0.697
0.667 0.333 0.303
0.156 0.311 0.773
0.156 0.844 0.773
0.311 0.156 0.227
0.333 0.667 0.424
0.667 0.333 0.576
0.689 0.844 0.773
0.844 0.156 0.227
0.844 0.689 0.227
```

Properties
N(E_F): 3.478 states/eV per cell
theoretical density: 5847 kg/m3
formation energy without anion corrections: -2765 meV/atom
VASP energy: -99.79 eV per cell

***

# HfPaAlO6

A relaxed structure of HfPaAlO6 (GGA-PBE, the Alexandria database).

The structure in POSCAR format:
```
HfPaAlO6
1.0
5.164 0.000 0.000
-2.582 4.472 0.000
0.000 0.000 9.587
Hf Pa Al O
2 2 2 12
Direct
0.333 0.667 0.250
0.667 0.333 0.750
0.000 0.000 0.000
0.000 0.000 0.500
0.333 0.667 0.750
0.667 0.333 0.250
0.021 0.357 0.636
0.021 0.664 0.864
0.336 0.357 0.864
0.336 0.979 0.636
0.357 0.021 0.136
0.357 0.336 0.364
0.643 0.664 0.636
0.643 0.979 0.864
0.664 0.021 0.364
0.664 0.643 0.136
0.979 0.336 0.136
0.979 0.643 0.364
```

Properties
N(E_F): 0.000 states/eV per cell
theoretical density: 7988 kg/m3
formation energy without anion corrections: -3355 meV/atom
VASP energy: -166.27 eV per cell

***

# Rb2HfAl2O6

A relaxed structure of Rb2HfAl2O6 (GGA-PBE, the Alexandria database).

The structure in POSCAR format:
```
Rb2HfAl2O6
1.0
2.934 1.694 6.143
-2.934 1.694 6.143
0.000 -3.387 6.143
Rb Hf Al O
2 1 2 6
Direct
0.205 0.205 0.205
0.795 0.795 0.795
0.000 0.000 0.000
0.398 0.398 0.398
0.602 0.602 0.602
0.234 0.234 0.737
0.234 0.737 0.234
0.263 0.766 0.766
0.737 0.234 0.234
0.766 0.263 0.766
0.766 0.766 0.263
```

Properties
N(E_F): 0.000 states/eV per cell
theoretical density: 4528 kg/m3
formation energy without anion corrections: -2594 meV/atom
VASP energy: -77.65 eV per cell

***

# HfSc2AlO

A relaxed structure of HfSc2AlO (GGA-PBE, the Alexandria database).

The structure in POSCAR format:
```
HfSc2AlO
1.0
4.378 0.000 0.000
0.000 4.378 0.000
0.000 0.000 4.411
Hf Sc Al O
1 2 1 1
Direct
0.000 0.000 0.000
0.000 0.500 0.500
0.500 0.000 0.500
0.500 0.500 0.000
0.000 0.000 0.500
```

Properties
N(E_F): 4.015 states/eV per cell
theoretical density: 6116 kg/m3
formation energy without anion corrections: -1312 meV/atom
VASP energy: -37.88 eV per cell

***

# Hf2ScAlO

A relaxed structure of Hf2ScAlO (GGA-PBE, the Alexandria database).

The structure in POSCAR format:
```
Hf2ScAlO
1.0
4.407 0.000 0.000
0.000 4.407 0.000
0.000 0.000 4.374
Hf Sc Al O
2 1 1 1
Direct
0.000 0.500 0.000
0.500 0.000 0.000
0.000 0.000 0.500
0.500 0.500 0.500
0.000 0.000 0.000
```

Properties
N(E_F): 3.769 states/eV per cell
theoretical density: 8698 kg/m3
formation energy without anion corrections: -1172 meV/atom
VASP energy: -40.80 eV per cell

***

# HfAlSn2O

A relaxed structure of HfAlSn2O (GGA-PBE, the Alexandria database).

The structure in POSCAR format:
```
HfAlSn2O
1.0
5.229 0.000 0.000
0.000 5.229 0.000
0.000 0.000 3.512
Hf Al Sn O
1 1 2 1
Direct
0.000 0.000 0.000
0.500 0.500 0.000
0.000 0.500 0.500
0.500 0.000 0.500
0.500 0.500 0.500
```

Properties
N(E_F): 2.398 states/eV per cell
theoretical density: 7933 kg/m3
formation energy without anion corrections: -535 meV/atom
VASP energy: -29.33 eV per cell

***

# Sr3HfAl2O8

A relaxed structure of Sr3HfAl2O8 (GGA-PBE, the Alexandria database).

The structure in POSCAR format:
```
Sr3HfAl2O8
1.0
5.668 0.000 0.000
-2.834 4.909 0.000
0.000 0.000 7.143
Sr Hf Al O
3 1 2 8
Direct
0.000 0.000 0.000
0.333 0.667 0.659
0.667 0.333 0.341
0.000 0.000 0.500
0.333 0.667 0.215
0.667 0.333 0.785
0.169 0.338 0.326
0.169 0.831 0.326
0.333 0.667 0.976
0.338 0.169 0.674
0.662 0.831 0.326
0.667 0.333 0.024
0.831 0.169 0.674
0.831 0.662 0.674
```

Properties
N(E_F): 0.000 states/eV per cell
theoretical density: 5208 kg/m3
formation energy without anion corrections: -3072 meV/atom
VASP energy: -105.16 eV per cell

***

# HfTaAl2O8

A relaxed structure of HfTaAl2O8 (GGA-PBE, the Alexandria database).

The structure in POSCAR format:
```
HfTaAl2O8
1.0
-3.276 3.276 3.155
3.276 -3.276 3.155
3.276 3.276 -3.155
Hf Ta Al O
1 1 2 8
Direct
0.000 0.000 0.000
0.250 0.750 0.500
0.500 0.500 0.000
0.750 0.250 0.500
0.312 0.115 0.803
0.312 0.510 0.197
0.366 0.053 0.313
0.490 0.688 0.803
0.739 0.053 0.687
0.885 0.688 0.197
0.947 0.261 0.313
0.947 0.634 0.687
```

Properties
N(E_F): 8.308 states/eV per cell
theoretical density: 6638 kg/m3
formation energy without anion corrections: -2802 meV/atom
VASP energy: -102.58 eV per cell

***

# HfTi2AlO

A relaxed structure of HfTi2AlO (GGA-PBE, the Alexandria database).

The structure in POSCAR format:
```
HfTi2AlO
1.0
4.084 0.000 0.000
0.000 4.084 0.000
0.000 0.000 4.505
Hf Ti Al O
1 2 1 1
Direct
0.000 0.000 0.000
0.000 0.500 0.500
0.500 0.000 0.500
0.500 0.500 0.000
0.000 0.000 0.500
```

Properties
E above lowest polymorph: 0 meV per atom
N(E_F): 5.492 states/eV per cell
theoretical density: 7010 kg/m3
formation energy without anion corrections: -1165 meV/atom
VASP energy: -40.27 eV per cell

***

# HfAl2Tl2O6

A relaxed structure of HfAl2Tl2O6 (GGA-PBE, the Alexandria database).

The structure in POSCAR format:
```
HfAl2Tl2O6
1.0
2.937 1.696 5.925
-2.937 1.696 5.925
0.000 -3.392 5.925
Hf Al Tl O
1 2 2 6
Direct
0.000 0.000 0.000
0.399 0.399 0.399
0.601 0.601 0.601
0.204 0.204 0.204
0.796 0.796 0.796
0.235 0.235 0.739
0.235 0.739 0.235
0.261 0.765 0.765
0.739 0.235 0.235
0.765 0.261 0.765
0.765 0.765 0.261
```

Properties
N(E_F): 0.000 states/eV per cell
theoretical density: 6913 kg/m3
formation energy without anion corrections: -2272 meV/atom
VASP energy: -76.91 eV per cell

***

# HfAlTlO4

A relaxed structure of HfAlTlO4 (GGA-PBE, the Alexandria database).

The structure in POSCAR format:
```
HfAlTlO4
1.0
5.460 0.000 0.000
0.000 5.636 0.000
-0.296 0.000 7.591
Hf Al Tl O
2 2 2 8
Direct
0.175 0.250 0.469
0.825 0.750 0.531
0.343 0.750 0.649
0.657 0.250 0.351
0.265 0.750 0.131
0.735 0.250 0.869
0.114 0.521 0.649
0.114 0.979 0.649
0.369 0.250 0.241
0.462 0.750 0.433
0.538 0.250 0.567
0.631 0.750 0.759
0.886 0.021 0.351
0.886 0.479 0.351
```

Properties
N(E_F): 0.000 states/eV per cell
theoretical density: 6736 kg/m3
formation energy without anion corrections: -2596 meV/atom
VASP energy: -108.13 eV per cell

***

Which of these has the lowest theoretical density?
Rb2HfAl2O6

***

Number 2 is which compound?
HfPaAl2O8

***

Look up the N(E_F) of the ninth one.
8.308 states/eV per cell

***

What did the fourth record say?
# Rb2HfAl2O6

A relaxed structure of Rb2HfAl2O6 (GGA-PBE, the Alexandria database).

The structure in POSCAR format:
```
Rb2HfAl2O6
1.0
2.934 1.694 6.143
-2.934 1.694 6.143
0.000 -3.387 6.143
Rb Hf Al O
2 1 2 6
Direct
0.205 0.205 0.205
0.795 0.795 0.795
0.000 0.000 0.000
0.398 0.398 0.398
0.602 0.602 0.602
0.234 0.234 0.737
0.234 0.737 0.234
0.263 0.766 0.766
0.737 0.234 0.234
0.766 0.263 0.766
0.766 0.766 0.263
```

Properties
N(E_F): 0.000 states/eV per cell
theoretical density: 4528 kg/m3
formation energy without anion corrections: -2594 meV/atom
VASP energy: -77.65 eV per cell